Record 1
K3AgBr6 (PBE, relaxed); distance to the lowest polymorph of the same formula = 0.19 eV per formula unit; ΔE_f (raw) = -1037.2 meV/atom; space-group type = P2_1/c (14); size of the total moment = 0.00 μB/f.u.
1.0
-1.8455 4.0029 -6.6081
-7.8247 -4.0685 -0.2792
-4.4476 8.2325 4.6820
Ag Br K
2 12 6
Cartesian
-7.0589 4.0834 -1.1027
0.0000 0.0000 0.0000
-5.1548 3.3556 0.4572
-5.5838 6.8700 -1.7294
-8.5340 1.2969 -0.4759
-4.3395 6.7360 2.6260
-11.0293 7.7532 -1.4157
-9.7784 1.4309 -4.8314
-6.8761 10.2144 -0.4549
-8.9630 4.8113 -2.6625
-8.3362 4.9720 0.9116
-7.2418 -2.0475 -1.7504
-5.7816 3.1948 -3.1169
-3.0885 0.4137 -0.7896
-5.8351 -0.1011 0.8315
-11.5053 4.7044 -0.2216
-2.6125 3.4625 -1.9837
-4.8351 -0.0328 -3.4437
-8.2827 8.2680 -3.0368
-2.2238 4.1162 2.3410

---

Record 2
Ca2AgRu (PBE, relaxed); E_form = 0.2067 eV per atom; space-group type = I-4m2 (119); size of the total moment = 0.35 μB/f.u.
1.0
-3.4041 -1.8054 -4.1004
2.5470 -3.1653 -3.8928
-0.2011 -0.0217 5.6231
Ca Ag Ru
2 1 1
Cartesian
0.0000 0.0000 0.0000
0.9587 -2.8362 -1.1332
-2.0169 -2.1562 -1.2369
-0.4285 -2.4853 -3.9966

---

Record 3
NdSmEuDy (PBE, relaxed); E_form = 0.1554 eV per atom; space-group type = F-43m (216); size of the total moment = 8.18 μB/f.u.
1.0
-0.8058 3.6669 4.4581
-1.0151 -2.0898 5.3453
4.0707 0.4904 4.1423
Nd Eu Sm Dy
1 1 1 1
Cartesian
0.0000 0.0000 0.0000
1.1249 1.0337 6.9728
0.5625 0.5169 3.4864
1.6874 1.5506 10.4592

---

Record 4
CrHgPd2Rh (PBE, relaxed); E_form = 0.8836 eV per atom; space-group type = P4/mmm (123); size of the total moment = 3.11 μB/f.u.
1.0
4.9415 0.0000 0.0000
0.0000 4.4601 0.0000
0.0000 0.0000 4.9415
Rh Cr Pd Hg
1 1 2 1
Cartesian
0.0000 0.0000 0.0000
0.0000 2.2301 0.0000
0.0000 0.0000 2.4707
2.4707 0.0000 0.0000
2.4707 2.2301 2.4707

---

Record 5
ErTmThMg (PBE, relaxed); distance to the lowest polymorph of the same formula = 0.00 eV per formula unit; E_form = -0.0360 eV per atom; space-group type = P4mm (99); size of the total moment = 0.00 μB/f.u.
1.0
-0.7110 1.5629 3.1183
1.2883 -2.8397 1.7170
8.3537 3.7923 0.0039
Er Mg Tm Th
1 1 1 1
Cartesian
0.6808 0.3090 0.0003
2.9809 0.5838 2.4189
4.6839 2.1263 0.0022
7.1408 2.4722 2.4209

---

Record 6
TbDyBiS (PBE, relaxed); ΔE_f (raw) = -1323.2 meV/atom; space-group type = R3m (160); size of the total moment = 0.00 μB/f.u.
1.0
-2.4698 2.5851 -1.9127
1.3428 -3.3110 -1.9137
-4.6265 -4.3871 4.3437
Tb S Bi Dy
1 1 1 1
Cartesian
-3.3433 -0.2201 -1.0887
0.4607 -3.3339 -1.6169
-3.8612 -1.9495 1.5393
-4.2797 -5.0070 2.2436

---

Record 7
Sr2ZrCuHg (PBE, relaxed); E_form = 0.9386 eV per atom; space-group type = P4/mmm (123); size of the total moment = 0.00 μB/f.u.
1.0
6.1790 0.0000 0.0000
0.0000 5.3472 0.0000
0.0000 0.0000 6.1790
Hg Sr Zr Cu
1 2 1 1
Cartesian
0.0000 2.6736 0.0000
0.0000 0.0000 3.0895
3.0895 0.0000 0.0000
0.0000 0.0000 0.0000
3.0895 2.6736 3.0895

---

Record 8
ScGa4CoRh2 (PBE, relaxed); E_form = -0.5534 eV per atom; space-group type = R-3m (166); size of the total moment = 0.00 μB/f.u.
1.0
4.1745 0.0000 0.0000
2.0872 3.6152 0.0000
2.0872 1.2051 8.0364
Rh Co Ga Sc
2 1 4 1
Cartesian
2.0872 1.2051 2.2596
6.2617 3.6152 5.7768
4.1745 2.4101 4.0182
2.0872 1.2051 4.8481
4.1745 2.4101 1.4605
4.1745 2.4101 6.5759
6.2617 3.6152 3.1883
0.0000 0.0000 0.0000

---

Record 9
Cr2FeReH (PBE, relaxed); electronic total energy = -8.63 eV per atom; space-group type = P4/mmm (123); size of the total moment = 0.77 μB/f.u.
1.0
-1.7834 1.2940 -3.0255
2.0330 -2.2727 -2.1704
-2.5037 -2.5909 0.3677
Cr Fe H Re
2 1 1 1
Cartesian
-0.8917 0.6470 -1.5127
1.0165 -1.1363 -1.0852
-1.2519 -1.2954 0.1839
0.0000 0.0000 0.0000
-1.1271 -1.7847 -2.4141

---

Record 10
ReHgW2 (PBE, relaxed); E_form = 0.5817 eV per atom; space-group type = P4mm (99); size of the total moment = 0.00 μB/f.u.
1.0
-0.1397 -3.2958 -0.4150
2.1893 0.2210 -2.4924
4.6727 -0.7070 4.0418
W Re Hg
2 1 1
Cartesian
4.6522 -0.7039 4.0241
2.0420 -1.6913 -0.5739
4.6984 -2.0932 1.7239
2.3389 -0.3539 2.0231

---

Record 11
BaPm2SmSe4 (PBE, relaxed); ΔE_f (raw) = -1828.4 meV/atom; space-group type = P2/m (10); size of the total moment = 0.00 μB/f.u.
1.0
4.2624 0.0000 0.0000
0.0000 7.4736 -0.1875
0.0000 2.5938 7.0200
Pm Se Sm Ba
2 4 1 1
Cartesian
2.1312 1.2969 3.5100
0.0000 2.5938 7.0200
4.2624 2.4378 1.8429
2.1312 6.3301 1.6822
0.0001 7.6296 4.9896
2.1312 3.7373 5.1503
0.0000 5.0337 3.4163
2.1312 6.3306 6.9262

---

Record 12
TiTlSn3 (PBE, relaxed); distance to the lowest polymorph of the same formula = 0.00 eV per formula unit; E_form = 0.0733 eV per atom; space-group type = Pm-3m (221); size of the total moment = 0.00 μB/f.u.
1.0
-5.0054 -1.7798 -0.5378
1.6574 -4.9711 1.0261
-0.8427 0.7950 5.2124
Sn Ti Tl
3 1 1
Cartesian
-2.5027 -0.8899 -0.2689
-0.4213 0.3975 2.6062
0.8287 -2.4855 0.5130
0.0000 0.0000 0.0000
-2.0954 -2.9780 2.8504

---

Q: Which value of size of the total moment does entry 6 give?
A: 0.00 μB/f.u.

---

Q: Which of these has the highest size of the total moment?
A: NdSmEuDy